A relaxed CuSbRuPt crystal, computed with PBE-GGA.

POSCAR file:
```
CuSbRuPt
1.0
0.000 3.150 3.150
3.150 0.000 3.150
3.150 3.150 0.000
Cu Sb Ru Pt
1 1 1 1
Direct
0.000 0.000 0.000
0.500 0.500 0.500
0.250 0.250 0.250
0.750 0.750 0.750
```

Values from the calculation:
The calculation puts the raw formation energy at -29 meV/atom.

=====

A relaxed MgIrRu2 crystal, computed with PBE-GGA.

POSCAR file:
```
MgIrRu2
1.0
2.782 0.000 0.000
0.000 2.782 0.000
0.000 0.000 7.677
Mg Ir Ru
1 1 2
Direct
0.000 0.000 0.000
0.500 0.500 0.739
0.000 0.000 0.497
0.500 0.500 0.270
```

Values from the calculation:
As for the calculated formation energy: -0.0165 eV per atom.

=====

A relaxed MgP2 crystal, computed with PBE-GGA.

POSCAR file:
```
MgP2
1.0
2.885 0.000 0.000
-1.442 2.498 0.000
0.000 0.000 7.734
Mg P
1 2
Direct
0.000 0.000 0.000
0.333 0.667 0.272
0.667 0.333 0.728
```

Values from the calculation:
As for the calculated formation energy: 0.3281 eV per atom.

=====

Q: Which DOS at the Fermi energy values were calculated for the entries above? A: 3.08, 4.20, 2.11, in states/eV/f.u..